(1)
# TaNiTe6, relaxed, DFT PBE-GGA
# E_form (uncorrected) (meV/atom): -49
# Total magnetic moment (μB/f.u.): 0.00
data_TaNiTe6
_cell_length_a 6.6614
_cell_length_b 6.6671
_cell_length_c 6.6798
_cell_angle_alpha 61.30
_cell_angle_beta 61.24
_cell_angle_gamma 61.30
_space_group_name_H-M_alt 'P -1'
_space_group_IT_number 2
loop_
_space_group_symop_operation_xyz
'x,y,z'
'-x,-y,-z'
loop_
_atom_site_label
_atom_site_type_symbol
_atom_site_fract_x
_atom_site_fract_y
_atom_site_fract_z
Ta1 Ta 0.0000 0.0000 0.0000
Ni1 Ni 0.5000 0.5000 0.5000
Te1 Te 0.0741 0.7287 0.4405
Te2 Te 0.2690 0.5587 0.9261
Te3 Te 0.4421 0.0733 0.7283

***

(2)
# NaZn9Cu2, relaxed, DFT PBE-GGA
# Offset from the most stable computed form (meV per atom): 0
# Energy of formation (eV/f.u.): -0.77
# Total magnetic moment (μB/f.u.): 0.00
data_NaZn9Cu2
_cell_length_a 10.5499
_cell_length_b 10.5499
_cell_length_c 6.8286
_cell_angle_alpha 90.00
_cell_angle_beta 90.00
_cell_angle_gamma 90.00
_space_group_name_H-M_alt 'I 41/a m d'
_space_group_IT_number 141
loop_
_space_group_symop_operation_xyz
'x,y,z'
'-x,-y,-z'
'-y+1/4,x+3/4,z+1/4'
'y+1/4,-x+3/4,-z+1/4'
'-x+1/2,-y,z+1/2'
'x+1/2,y,-z+1/2'
'y+1/4,-x+1/4,z+3/4'
'-y+1/4,x+1/4,-z+3/4'
'x,-y,-z'
'-x,y,z'
'-y+1/4,-x+1/4,-z+3/4'
'y+1/4,x+1/4,z+3/4'
'-x+1/2,y,-z+1/2'
'x+1/2,-y,z+1/2'
'y+1/4,x+3/4,-z+1/4'
'-y+1/4,-x+3/4,z+1/4'
'x+1/2,y+1/2,z+1/2'
'-x+1/2,-y+1/2,-z+1/2'
'-y+3/4,x+1/4,z+3/4'
'y+3/4,-x+1/4,-z+3/4'
'-x,-y+1/2,z'
'x,y+1/2,-z'
'y+3/4,-x+3/4,z+1/4'
'-y+3/4,x+3/4,-z+1/4'
'x+1/2,-y+1/2,-z+1/2'
'-x+1/2,y+1/2,z+1/2'
'-y+3/4,-x+3/4,-z+1/4'
'y+3/4,x+3/4,z+1/4'
'-x,y+1/2,-z'
'x,-y+1/2,z'
'y+3/4,x+1/4,-z+3/4'
'-y+3/4,-x+1/4,z+3/4'
loop_
_atom_site_label
_atom_site_type_symbol
_atom_site_fract_x
_atom_site_fract_y
_atom_site_fract_z
Na1 Na 0.0000 0.2500 0.3750
Zn1 Zn 0.0000 0.2500 0.8750
Zn2 Zn 0.1210 0.0446 0.6834
Cu1 Cu 0.0000 0.0000 0.0000

***

(3)
# La6Er8Tm, relaxed, DFT PBE-GGA
# Energy of formation (eV/f.u.): 1.71
# Total magnetic moment (μB/f.u.): 0.00
data_La6Er8Tm
_cell_length_a 9.0627
_cell_length_b 9.0627
_cell_length_c 21.2156
_cell_angle_alpha 90.00
_cell_angle_beta 90.00
_cell_angle_gamma 120.00
_space_group_name_H-M_alt 'R -3'
_space_group_IT_number 148
_space_group_name_Hall '-R 3'
loop_
_atom_site_label
_atom_site_type_symbol
_atom_site_fract_x
_atom_site_fract_y
_atom_site_fract_z
La1 La 0.0535 0.2488 0.2138
Er1 Er 0.0000 0.0000 0.0770
Er2 Er 0.0807 0.5702 0.3052
Tm1 Tm 0.0000 0.0000 0.5000

***

(4)
# Ce2Ho4Er5, relaxed, DFT PBE-GGA
# Offset from the most stable computed form (meV per atom): 0
# Energy of formation (eV/f.u.): 1.63
# Total magnetic moment (μB/f.u.): 0.59
data_Ce2Ho4Er5
_cell_length_a 23.1939
_cell_length_b 3.5526
_cell_length_c 8.9125
_cell_angle_alpha 90.00
_cell_angle_beta 111.33
_cell_angle_gamma 90.00
_space_group_name_H-M_alt 'C 1 2/m 1'
_space_group_IT_number 12
loop_
_space_group_symop_operation_xyz
'x,y,z'
'-x,-y,-z'
'-x,y,-z'
'x,-y,z'
'x+1/2,y+1/2,z'
'-x+1/2,-y+1/2,-z'
'-x+1/2,y+1/2,-z'
'x+1/2,-y+1/2,z'
loop_
_atom_site_label
_atom_site_type_symbol
_atom_site_fract_x
_atom_site_fract_y
_atom_site_fract_z
Ce1 Ce 0.2382 0.0000 0.1043
Ho1 Ho 0.0450 0.5000 0.3873
Ho2 Ho 0.1853 0.0000 0.5479
Er1 Er 0.0000 0.0000 0.0000
Er2 Er 0.1089 0.5000 0.8009
Er3 Er 0.1357 0.5000 0.1935

***

(5)
# Pm3HgAs, relaxed, DFT PBE-GGA
# Energy of formation (eV/f.u.): -2.02
# Total magnetic moment (μB/f.u.): 0.00
data_Pm3HgAs
_cell_length_a 5.5446
_cell_length_b 5.5446
_cell_length_c 5.5446
_cell_angle_alpha 90.00
_cell_angle_beta 90.00
_cell_angle_gamma 90.00
_space_group_name_H-M_alt 'P m -3 m'
_space_group_IT_number 221
_space_group_name_Hall '-P 4 2 3'
loop_
_atom_site_label
_atom_site_type_symbol
_atom_site_fract_x
_atom_site_fract_y
_atom_site_fract_z
Pm1 Pm 0.0000 0.0000 0.5000
Hg1 Hg 0.5000 0.5000 0.5000
As1 As 0.0000 0.0000 0.0000

***

(6)
# AlIn4Au5, relaxed, DFT PBE-GGA
# Energy of formation (eV/f.u.): -1.76
# Total magnetic moment (μB/f.u.): 0.00
data_AlIn4Au5
_cell_length_a 4.7330
_cell_length_b 6.9593
_cell_length_c 7.0609
_cell_angle_alpha 81.36
_cell_angle_beta 81.99
_cell_angle_gamma 71.55
_space_group_name_H-M_alt 'P 1'
_space_group_IT_number 1
loop_
_space_group_symop_operation_xyz
'x,y,z'
loop_
_atom_site_label
_atom_site_type_symbol
_atom_site_fract_x
_atom_site_fract_y
_atom_site_fract_z
Al1 Al 0.0000 0.0000 0.0000
In1 In 0.3566 0.7626 0.3183
In2 In 0.4201 0.3788 0.6140
In3 In 0.6960 0.8173 0.7522
In4 In 0.9525 0.3943 0.2783
Au1 Au 0.1298 0.0657 0.6032
Au2 Au 0.2435 0.6241 0.9711
Au3 Au 0.4269 0.1558 0.0185
Au4 Au 0.7274 0.0074 0.3605
Au5 Au 0.8547 0.3921 0.8623

***

(7)
# Sm7In2Pt2, relaxed, DFT PBE-GGA
# Energy of formation (eV/f.u.): -5.74
# Total magnetic moment (μB/f.u.): 0.00
data_Sm7In2Pt2
_cell_length_a 8.3837
_cell_length_b 11.2911
_cell_length_c 7.1936
_cell_angle_alpha 90.00
_cell_angle_beta 90.00
_cell_angle_gamma 90.00
_space_group_name_H-M_alt 'C m m m'
_space_group_IT_number 65
_space_group_name_Hall '-C 2 2'
loop_
_atom_site_label
_atom_site_type_symbol
_atom_site_fract_x
_atom_site_fract_y
_atom_site_fract_z
Sm1 Sm 0.0000 0.0000 0.0000
Sm2 Sm 0.0000 0.5000 0.2485
Sm3 Sm 0.2500 0.2500 0.2542
In1 In 0.1711 0.0000 0.5000
Pt1 Pt 0.0000 0.2895 0.0000